Compound: Li2VSbH
Source: Alexandria
Functional: GGA-PBE
Structure: relaxed

abc: 4.081 4.081 4.161
angles: 90.00 90.00 90.00
Element x y z (fractional)
1 Li 0.000 0.500 0.000
2 Li 0.500 0.000 0.000
3 V 0.000 0.000 0.500
4 Sb 0.500 0.500 0.500
5 H 0.000 0.000 0.000

Results
Raw total energy, eV/cell: -21.67
Crystal system: tetragonal



Compound: Ac2YSn2
Source: Alexandria
Functional: GGA-PBE
Structure: relaxed

abc: 8.349 8.349 4.961
angles: 90.00 90.00 90.00
Element x y z (fractional)
1 Ac 0.173 0.327 0.000
2 Ac 0.327 0.827 0.000
3 Ac 0.673 0.173 0.000
4 Ac 0.827 0.673 0.000
5 Y 0.000 0.000 0.500
6 Y 0.500 0.500 0.500
7 Sn 0.129 0.629 0.500
8 Sn 0.371 0.129 0.500
9 Sn 0.629 0.871 0.500
10 Sn 0.871 0.371 0.500

Results
Energy relative to the elements, meV/atom: -691
Crystal system: tetragonal



Compound: Ba4Pt2Br
Source: Alexandria
Functional: GGA-PBE
Structure: relaxed

abc: 15.911 15.911 15.911
angles: 16.64 16.64 16.64
Element x y z (fractional)
1 Ba 0.124 0.124 0.124
2 Ba 0.283 0.283 0.283
3 Ba 0.717 0.717 0.717
4 Ba 0.876 0.876 0.876
5 Pt 0.420 0.420 0.420
6 Pt 0.580 0.580 0.580
7 Br 0.000 0.000 0.000

Results
Raw formation energy, eV per atom: -1.016
Crystal system: trigonal



Compound: Sr2CaCu
Source: Alexandria
Functional: GGA-PBE
Structure: relaxed

abc: 4.625 4.115 8.580
angles: 90.00 105.57 90.00
Element x y z (fractional)
1 Sr 0.000 0.000 0.000
2 Sr 0.339 0.500 0.678
3 Ca 0.680 0.000 0.360
4 Cu 0.541 0.500 0.081

Results
Energy relative to the elements, meV/atom: 34
Crystal system: monoclinic



Compound: CaCdInIr
Source: Alexandria
Functional: GGA-PBE
Structure: relaxed

abc: 6.879 6.879 6.879
angles: 90.00 90.00 90.00
Element x y z (fractional)
1 Ca 0.000 0.000 0.000
2 Ca 0.000 0.500 0.500
3 Ca 0.500 0.000 0.500
4 Ca 0.500 0.500 0.000
5 Cd 0.250 0.250 0.750
6 Cd 0.250 0.750 0.250
7 Cd 0.750 0.250 0.250
8 Cd 0.750 0.750 0.750
9 In 0.250 0.250 0.250
10 In 0.250 0.750 0.750
11 In 0.750 0.250 0.750
12 In 0.750 0.750 0.250
13 Ir 0.000 0.000 0.500
14 Ir 0.000 0.500 0.000
15 Ir 0.500 0.000 0.000
16 Ir 0.500 0.500 0.500

Results
Energy relative to the elements, meV/atom: -178
Crystal system: cubic



Compound: InCuSb2
Source: Alexandria
Functional: GGA-PBE
Structure: relaxed

abc: 7.258 7.258 7.258
angles: 90.00 90.00 90.00
Element x y z (fractional)
1 In 0.000 0.000 0.000
2 In 0.000 0.500 0.500
3 In 0.500 0.000 0.500
4 In 0.500 0.500 0.000
5 Cu 0.250 0.250 0.250
6 Cu 0.250 0.750 0.750
7 Cu 0.750 0.250 0.750
8 Cu 0.750 0.750 0.250
9 Sb 0.000 0.000 0.500
10 Sb 0.000 0.500 0.000
11 Sb 0.250 0.250 0.750
12 Sb 0.250 0.750 0.250
13 Sb 0.500 0.000 0.000
14 Sb 0.500 0.500 0.500
15 Sb 0.750 0.250 0.250
16 Sb 0.750 0.750 0.750

Results
Raw formation energy, eV per atom: 0.362
Crystal system: cubic



| no. | calculated volume (Å³ per atom) |
| --- | --- |
| 1 | 13.861 |
| 2 | 34.581 |
| 3 | 41.151 |
| 4 | 39.335 |
| 5 | 20.346 |
| 6 | 23.901 |